# TbGa2Co2Ge (GGA-PBE, optimized geometry)
# Electronic total energy: -5.131 eV per atom
data_TbGa2Co2Ge
_cell_length_a 4.3410
_cell_length_b 4.3410
_cell_length_c 5.5440
_cell_angle_alpha 90.00
_cell_angle_beta 90.00
_cell_angle_gamma 90.00
_symmetry_space_group_name_H-M 'P 4/m m m'
_symmetry_Int_Tables_number 123
_symmetry_space_group_name_Hall '-P 4 2'
loop_
_atom_site_label
_atom_site_type_symbol
_atom_site_fract_x
_atom_site_fract_y
_atom_site_fract_z
_atom_site_occupancy
Tb1 Tb 0.0000 0.0000 0.0000 1
Ga1 Ga 0.5000 0.5000 0.2401 1
Co1 Co 0.0000 0.5000 0.5000 1
Ge1 Ge 0.0000 0.0000 0.5000 1

***

# UCo4Re (GGA-PBE, optimized geometry)
# Electronic total energy: -8.666 eV per atom
data_UCo4Re
_cell_length_a 6.7962
_cell_length_b 6.7962
_cell_length_c 6.7962
_cell_angle_alpha 90.00
_cell_angle_beta 90.00
_cell_angle_gamma 90.00
_symmetry_space_group_name_H-M 'F -4 3 m'
_symmetry_Int_Tables_number 216
_symmetry_space_group_name_Hall 'F -4 2 3'
loop_
_atom_site_label
_atom_site_type_symbol
_atom_site_fract_x
_atom_site_fract_y
_atom_site_fract_z
_atom_site_occupancy
U1 U 0.0000 0.0000 0.0000 1
Co1 Co 0.1233 0.1233 0.6233 1
Re1 Re 0.2500 0.2500 0.2500 1

***

# CaLaAl2Co (GGA-PBE, optimized geometry)
# Electronic total energy: -4.532 eV per atom
data_CaLaAl2Co
_cell_length_a 4.8573
_cell_length_b 4.8573
_cell_length_c 4.9893
_cell_angle_alpha 90.00
_cell_angle_beta 90.00
_cell_angle_gamma 90.00
_symmetry_space_group_name_H-M 'P 4/m m m'
_symmetry_Int_Tables_number 123
_symmetry_space_group_name_Hall '-P 4 2'
loop_
_atom_site_label
_atom_site_type_symbol
_atom_site_fract_x
_atom_site_fract_y
_atom_site_fract_z
_atom_site_occupancy
Ca1 Ca 0.0000 0.0000 0.0000 1
La1 La 0.5000 0.5000 0.0000 1
Al1 Al 0.0000 0.5000 0.5000 1
Co1 Co 0.5000 0.5000 0.5000 1

***

# CsIn2Se (GGA-PBE, optimized geometry)
# E_form (uncorrected): -1.3 eV per formula unit
data_CsIn2Se
_cell_length_a 9.2753
_cell_length_b 9.2753
_cell_length_c 7.0105
_cell_angle_alpha 90.00
_cell_angle_beta 90.00
_cell_angle_gamma 90.00
_symmetry_space_group_name_H-M 'I -4 2 d'
_symmetry_Int_Tables_number 122
_symmetry_space_group_name_Hall 'I -4 2bw'
loop_
_atom_site_label
_atom_site_type_symbol
_atom_site_fract_x
_atom_site_fract_y
_atom_site_fract_z
_atom_site_occupancy
Cs1 Cs 0.0000 0.0000 0.0000 1
In1 In 0.1854 0.2500 0.6250 1
Se1 Se 0.0000 0.0000 0.5000 1

***

# NaCuP2O7 (GGA-PBE, optimized geometry)
# E_form (uncorrected): -19.5 eV per formula unit
data_NaCuP2O7
_cell_length_a 4.9416
_cell_length_b 14.0862
_cell_length_c 9.8917
_cell_angle_alpha 90.00
_cell_angle_beta 116.98
_cell_angle_gamma 90.00
_symmetry_space_group_name_H-M 'P 1 21/c 1'
_symmetry_Int_Tables_number 14
_symmetry_space_group_name_Hall '-P 2ybc'
loop_
_atom_site_label
_atom_site_type_symbol
_atom_site_fract_x
_atom_site_fract_y
_atom_site_fract_z
_atom_site_occupancy
Na1 Na 0.0735 0.1305 0.3474 1
Cu1 Cu 0.0331 0.1518 0.7427 1
P1 P 0.3004 0.6758 0.5642 1
P2 P 0.4951 0.5316 0.7795 1
O1 O 0.0922 0.6924 0.4008 1
O2 O 0.1937 0.7161 0.6791 1
O3 O 0.2416 0.1049 0.6387 1
O4 O 0.2475 0.5507 0.8341 1
O5 O 0.3447 0.5623 0.6000 1
O6 O 0.3757 0.2172 0.8884 1
O7 O 0.4214 0.5707 0.2041 1

***

# ReH2Ir (GGA-PBE, optimized geometry)
# Electronic total energy: -6.002 eV per atom
data_ReH2Ir
_cell_length_a 5.3022
_cell_length_b 5.3022
_cell_length_c 5.3022
_cell_angle_alpha 90.00
_cell_angle_beta 90.00
_cell_angle_gamma 90.00
_symmetry_space_group_name_H-M 'F m -3 m'
_symmetry_Int_Tables_number 225
_symmetry_space_group_name_Hall '-F 4 2 3'
loop_
_atom_site_label
_atom_site_type_symbol
_atom_site_fract_x
_atom_site_fract_y
_atom_site_fract_z
_atom_site_occupancy
Re1 Re 0.0000 0.0000 0.0000 1
H1 H 0.2500 0.2500 0.2500 1
Ir1 Ir 0.0000 0.0000 0.5000 1

***

What is the formula in the first record? TbGa2Co2Ge